No. 1
Density functional theory data (GGA-PBE) for SrLiSc2 after structural relaxation.

The structure belongs to space group Pmmm (No. 47); the cell edges are 3.3547, 5.4458 and 6.3111 Å and the angles 90.00°, 90.00° and 90.00°. The asymmetric unit holds Sr at (0.0000, 0.0000, 0.0000), Li at (0.0000, 0.0000, 0.5000) and Sc at (0.5000, 0.5000, 0.2639).

No. 2
Density functional theory data (GGA-PBE) for SrLi2Sc after structural relaxation.

The structure belongs to space group I-42d (No. 122); the cell edges are 8.3624, 8.3624 and 6.7543 Å and the angles 90.00°, 90.00° and 90.00°. The asymmetric unit holds Sr at (0.0000, 0.0000, 0.0000), Li at (0.2247, 0.2500, 0.6250) and Sc at (0.0000, 0.0000, 0.5000).

No. 3
Density functional theory data (GGA-PBE) for SrLiSc after structural relaxation.

The structure belongs to space group C2 (No. 5); the cell edges are 12.0504, 5.5127 and 5.7295 Å and the angles 90.00°, 90.15° and 90.00°. The asymmetric unit holds Sr at (0.0000, 0.0000, 0.0000), Sr at (0.0000, 0.4977, 0.5000), Li at (0.1985, 0.9959, 0.4974) and Sc at (0.1900, 0.5012, 0.0020).

Number 1: energy of formation 404.9 meV per atom, volume 115.30 Å³ per cell. Number 2: energy of formation 436.0 meV per atom, volume 472.33 Å³ per cell. Number 3: energy of formation 270.2 meV per atom, volume 380.61 Å³ per cell.